No. 1
VASP calculation (PBE-GGA) on a relaxed CaBeRu2 crystal.

space group	R-3m

abc: 8.1597 8.1597 8.1597
angles: 20.82 20.82 20.82
Closest atoms and distances in Å follow each position.
Fractional coordinates of all 4 atoms:
Ru: 0.9821 0.9821 0.9821  3 Be 2.31
Ru: 0.5179 0.5179 0.5179  3 Be 2.31
Ca: 0.7500 0.7500 0.7500  6 Ca 2.95, 6 Ru 2.96
Be: 0.2500 0.2500 0.2500  6 Ru 2.31

=====

No. 2
VASP calculation (PBE-GGA) on a relaxed CaBeRu3 crystal.

space group	Pm-3m
energy above the most stable polymorph in this dataset	0.0	meV per atom

abc: 4.2823 4.2823 4.2823
angles: 90.00 90.00 90.00
Closest atoms and distances in Å follow each position.
Fractional coordinates of all 5 atoms:
Ru: 0.0000 0.5000 0.0000  2 Be 2.14
Ru: 0.0000 0.0000 0.5000  2 Be 2.14
Ru: 0.5000 0.0000 0.0000  2 Be 2.14
Ca: 0.5000 0.5000 0.5000  12 Ru 3.03
Be: 0.0000 0.0000 0.0000  6 Ru 2.14

=====

No. 3
VASP calculation (PBE-GGA) on a relaxed CaBe3Ru crystal.

space group	Pm-3m
energy above the most stable polymorph in this dataset	2421.4	meV per atom

abc: 4.3305 4.3305 4.3305
angles: 90.00 90.00 90.00
Closest atoms and distances in Å follow each position.
Fractional coordinates of all 5 atoms:
Ru: 0.5000 0.5000 0.5000  12 Be 3.06
Ca: 0.0000 0.0000 0.0000  6 Be 2.17
Be: 0.0000 0.5000 0.0000  2 Ca 2.17
Be: 0.0000 0.0000 0.5000  2 Ca 2.17
Be: 0.5000 0.0000 0.0000  2 Ca 2.17

=====

No. 4
VASP calculation (PBE-GGA) on a relaxed CaBeRu2 crystal.

space group	C2/m

abc: 5.1005 5.1005 4.7683
angles: 66.50 66.50 32.42
Closest atoms and distances in Å follow each position.
Fractional coordinates of all 4 atoms:
Ru: 0.9590 0.9590 0.0522  2 Be 2.35
Ru: 0.5410 0.5410 0.4478  2 Be 2.35
Ca: 0.7500 0.7500 0.7500  4 Be 2.78, 2 Ca 2.85, 8 Ru 2.95-3.10
Be: 0.2500 0.2500 0.2500  4 Ru 2.35

=====

No. 5
VASP calculation (PBE-GGA) on a relaxed CaBe2Ru2 crystal.

space group	P4/mbm
energy above the most stable polymorph in this dataset	84.7	meV per atom

abc: 7.2158 7.2158 2.6721
angles: 90.00 90.00 90.00
Closest atoms and distances in Å follow each position.
Fractional coordinates of all 10 atoms:
Ru: 0.3699 0.8699 0.0000  6 Be 2.47-2.55, 3 Ru 2.66-2.67
Ru: 0.8699 0.6301 0.0000  6 Be 2.47-2.55, 3 Ru 2.66-2.67
Ru: 0.6301 0.1301 0.0000  6 Be 2.47-2.55, 3 Ru 2.66-2.67
Ru: 0.1301 0.3699 0.0000  6 Be 2.47-2.55, 3 Ru 2.66-2.67
Ca: 0.0000 0.0000 0.0000  2 Ca 2.67, 4 Ru 2.83
Ca: 0.5000 0.5000 0.0000  2 Ca 2.67, 4 Ru 2.83
Be: 0.1566 0.6566 0.5000  6 Ru 2.47-2.55, 2 Be 2.67
Be: 0.6566 0.8434 0.5000  6 Ru 2.47-2.55, 2 Be 2.67
Be: 0.8434 0.3434 0.5000  6 Ru 2.47-2.55, 2 Be 2.67
Be: 0.3434 0.1566 0.5000  6 Ru 2.47-2.55, 2 Be 2.67

=====

No. 6
VASP calculation (PBE-GGA) on a relaxed CaBeRu2 crystal.

space group	Imm2

abc: 5.3838 5.3838 5.3838
angles: 148.47 129.35 60.89
Closest atoms and distances in Å follow each position.
Fractional coordinates of all 4 atoms:
Ru: 0.9732 0.9732 0.0000  2 Ru 2.61, 4 Be 2.79
Ru: 0.7403 0.2403 0.5000  2 Be 2.40, 2 Ru 2.61
Ca: 0.2518 0.7518 0.5000  6 Ru 2.73-2.97, 2 Ca 2.93, 2 Be 3.01
Be: 0.5347 0.5347 0.0000  2 Ru 2.40

=====

No. 7
VASP calculation (PBE-GGA) on a relaxed CaBeRu crystal.

space group	P4/nmm
energy above the most stable polymorph in this dataset	0.0	meV per atom

abc: 4.3113 4.3113 5.8913
angles: 90.00 90.00 90.00
Closest atoms and distances in Å follow each position.
Fractional coordinates of all 6 atoms:
Ca: 0.0000 0.5000 0.8398  1 Be 2.77, 4 Ru 2.94
Ca: 0.5000 0.0000 0.1602  1 Be 2.77, 4 Ru 2.94
Be: 0.0000 0.5000 0.3701  4 Ru 2.29
Be: 0.5000 0.0000 0.6299  4 Ru 2.29
Ru: 0.5000 0.5000 0.5000  4 Be 2.29
Ru: 0.0000 0.0000 0.5000  4 Be 2.29

=====

No. 8
VASP calculation (PBE-GGA) on a relaxed Ca2BeRu2 crystal.

space group	P4/mbm

abc: 6.3009 6.3009 4.7152
angles: 90.00 90.00 90.00
Closest atoms and distances in Å follow each position.
Fractional coordinates of all 10 atoms:
Ru: 0.3625 0.8625 0.0000  2 Be 2.44, 1 Ru 2.45
Ru: 0.8625 0.6375 0.0000  2 Be 2.44, 1 Ru 2.45
Ru: 0.6375 0.1375 0.0000  2 Be 2.44, 1 Ru 2.45
Ru: 0.1375 0.3625 0.0000  2 Be 2.44, 1 Ru 2.45
Ca: 0.1760 0.6760 0.5000  6 Ru 2.88-3.09, 1 Ca 3.14
Ca: 0.6760 0.8240 0.5000  6 Ru 2.88-3.09, 1 Ca 3.14
Ca: 0.8240 0.3240 0.5000  6 Ru 2.88-3.09, 1 Ca 3.14
Ca: 0.3240 0.1760 0.5000  6 Ru 2.88-3.09, 1 Ca 3.14
Be: 0.0000 0.0000 0.0000  4 Ru 2.44
Be: 0.5000 0.5000 0.0000  4 Ru 2.44

=====

Number 1: VASP energy -5.73 eV per atom, E_form 0.34 eV per atom, calculated density 6.94 Mg/m³. Number 2: VASP energy -6.28 eV per atom, E_form 0.43 eV per atom, calculated density 7.45 Mg/m³. Number 3: VASP energy -2.02 eV per atom, E_form 2.47 eV per atom, calculated density 3.44 Mg/m³. Number 4: VASP energy -5.83 eV per atom, E_form 0.24 eV per atom, calculated density 6.90 Mg/m³. Number 5: VASP energy -5.50 eV per atom, E_form 0.10 eV per atom, calculated density 6.21 Mg/m³. Number 6: VASP energy -5.68 eV per atom, E_form 0.39 eV per atom, calculated density 6.67 Mg/m³. Number 7: VASP energy -5.10 eV per atom, E_form -0.09 eV per atom, calculated density 4.55 Mg/m³. Number 8: VASP energy -5.10 eV per atom, E_form 0.16 eV per atom, calculated density 5.17 Mg/m³.